VASP calculation (GGA-PBE) on a relaxed SmDyYN3 crystal.

Computed properties:
Raw formation energy = -1412 meV per atom

Cell lengths 6.0312, 3.4796, 9.0876 Å; angles 90.00, 101.37, 90.00 degrees
With the nearest neighbours (Å) after each atom.
Space group P2_1/m (No. 11)
One atom of each set of equivalent atoms:
1 Sm 0.1591 0.2500 0.1993  7 N 2.54-2.75
2 Dy 0.3465 0.2500 0.8614  5 N 2.27-2.51
3 Y 0.2687 0.7500 0.5449  6 N 2.35-2.62
4 N 0.0380 0.2500 0.6687  1 Dy 2.29, 1 Y 2.40, 2 Sm 2.54
5 N 0.2519 0.7500 0.9970  3 Dy 2.27-2.51
6 N 0.4634 0.7500 0.3444  3 Y 2.35-2.45, 1 Dy 2.38